(1)
CeSiB | PBE | optimized geometry

Structure (CIF):
```
data_CeSiB
_cell_length_a 3.534
_cell_length_b 6.278
_cell_length_c 8.705
_cell_angle_alpha 90.00
_cell_angle_beta 90.00
_cell_angle_gamma 90.00
_symmetry_space_group_name_H-M 'I m m m'
_symmetry_Int_Tables_number 71
_symmetry_space_group_name_Hall '-I 2 2'
loop_
_atom_site_label
_atom_site_fract_x
_atom_site_fract_y
_atom_site_fract_z
_atom_site_occupancy
Ce1 0.000 0.000 0.249 1
Si1 0.000 0.311 0.000 1
B1 0.000 0.361 0.500 1
```

## Properties
Fermi-level density of states in states/eV per atom: 1.225
E_form (uncorrected) in eV per atom: -0.599
Polymorph energy (0 for the lowest one) in eV/atom: 0.024



(2)
PmAs3 | PBE | optimized geometry

Structure (CIF):
```
data_PmAs3
_cell_length_a 4.088
_cell_length_b 10.113
_cell_length_c 4.223
_cell_angle_alpha 90.00
_cell_angle_beta 90.00
_cell_angle_gamma 90.00
_symmetry_space_group_name_H-M 'I m m 2'
_symmetry_Int_Tables_number 44
_symmetry_space_group_name_Hall 'I 2 -2'
loop_
_atom_site_label
_atom_site_fract_x
_atom_site_fract_y
_atom_site_fract_z
_atom_site_occupancy
Pm1 0.000 0.000 0.000 1
As1 0.000 0.246 0.505 1
As2 0.000 0.500 0.999 1
```

## Properties
Fermi-level density of states in states/eV per atom: 0.443
Polymorph energy (0 for the lowest one) in eV/atom: 0.061
DFT formation energy in kcal/mol of atoms: -12.4



(3)
Cd2SbSe | PBE | optimized geometry

Structure (CIF):
```
data_Cd2SbSe
_cell_length_a 5.937
_cell_length_b 8.394
_cell_length_c 4.002
_cell_angle_alpha 90.00
_cell_angle_beta 90.00
_cell_angle_gamma 90.00
_symmetry_space_group_name_H-M 'C m m m'
_symmetry_Int_Tables_number 65
_symmetry_space_group_name_Hall '-C 2 2'
loop_
_atom_site_label
_atom_site_fract_x
_atom_site_fract_y
_atom_site_fract_z
_atom_site_occupancy
Cd1 0.250 0.250 0.000 1
Sb1 0.000 0.000 0.500 1
Se1 0.000 0.500 0.500 1
```

## Properties
Fermi-level density of states in states/eV per atom: 0.537
E_form (uncorrected) in eV per atom: 0.057



(4)
CsPdPt3 | PBE | optimized geometry

Structure (CIF):
```
data_CsPdPt3
_cell_length_a 5.124
_cell_length_b 5.124
_cell_length_c 5.124
_cell_angle_alpha 90.00
_cell_angle_beta 90.00
_cell_angle_gamma 90.00
_symmetry_space_group_name_H-M 'P m -3 m'
_symmetry_Int_Tables_number 221
_symmetry_space_group_name_Hall '-P 4 2 3'
loop_
_atom_site_label
_atom_site_fract_x
_atom_site_fract_y
_atom_site_fract_z
_atom_site_occupancy
Cs1 0.000 0.000 0.000 1
Pd1 0.500 0.500 0.500 1
Pt1 0.000 0.000 0.500 1
```

## Properties
Fermi-level density of states in states/eV per atom: 0.292
Polymorph energy (0 for the lowest one) in eV/atom: 1.302
DFT formation energy in kcal/mol of atoms: 50.5



no.,calculated volume (Å³/atom)
1,16.10
2,21.83
3,24.93
4,26.91